DFT (PBE) results for an optimized crystal structure of Sc2AlV.

a b c (Å): 3.4354 3.4354 6.5950
angles (deg): 90.00 90.00 90.00
Space group P4/mmm (No. 123)
Symmetry-distinct sites (fractional):
Sc 0.0000 0.0000 0.2424
Al 0.5000 0.5000 0.5000
V 0.5000 0.5000 0.0000

Summary:
The calculation puts the formation energy at -0.11 eV/atom. As for the total energy: -25.98 eV/f.u.

---

DFT (PBE) results for an optimized crystal structure of NiRu2.

a b c (Å): 2.6915 3.6769 7.8765
angles (deg): 90.00 90.00 90.00
Space group Immm (No. 71)
Symmetry-distinct sites (fractional):
Ni 0.0000 0.0000 0.0000
Ru 0.0000 0.0000 0.3331

Summary:
For the energy above the most stable polymorph in this dataset, the calculation gives 18.8 meV per atom. The calculation puts the formation energy at 0.07 eV/atom. As for the total energy: -24.14 eV/f.u.

---

DFT (PBE) results for an optimized crystal structure of B3P2.

a b c (Å): 3.2210 7.1078 5.4150
angles (deg): 90.00 90.00 90.00
Space group Imm2 (No. 44)
Symmetry-distinct sites (fractional):
B 0.0000 0.0000 0.0000
B 0.0000 0.2251 0.0322
P 0.0000 0.1672 0.3870

Summary:
For the energy above the most stable polymorph in this dataset, the calculation gives 80.0 meV per atom. The calculation puts the formation energy at 0.22 eV/atom. As for the total energy: -29.77 eV/f.u.

---

DFT (PBE) results for an optimized crystal structure of Li3TbAg7.

a b c (Å): 8.1700 9.6045 5.7275
angles (deg): 90.00 109.21 90.00
Space group C2/m (No. 12)
Symmetry-distinct sites (fractional):
Li 0.0000 0.0000 0.0000
Li 0.0000 0.2302 0.5000
Tb 0.0000 0.5000 0.0000
Ag 0.0000 0.5000 0.5000
Ag 0.1781 0.0000 0.5437
Ag 0.1922 0.2230 0.1975

Summary:
The calculation puts the formation energy at -0.04 eV/atom. As for the total energy: -30.77 eV/f.u.

---

DFT (PBE) results for an optimized crystal structure of AcErMgPt.

a b c (Å): 7.5110 7.5110 7.5110
angles (deg): 90.00 90.00 90.00
Space group F-43m (No. 216)
Symmetry-distinct sites (fractional):
Ac 0.0000 0.0000 0.0000
Er 0.0000 0.0000 0.5000
Mg 0.2500 0.2500 0.2500
Pt 0.2500 0.2500 0.7500

Summary:
The calculation puts the formation energy at -0.46 eV/atom. As for the total energy: -18.14 eV/f.u.

---

DFT (PBE) results for an optimized crystal structure of CaAgI2O.

a b c (Å): 5.7843 5.7843 4.1425
angles (deg): 90.00 90.00 90.00
Space group P4/mmm (No. 123)
Symmetry-distinct sites (fractional):
Ca 0.0000 0.0000 0.0000
Ag 0.5000 0.5000 0.5000
I 0.0000 0.5000 0.5000
O 0.5000 0.5000 0.0000

Summary:
For the energy above the most stable polymorph in this dataset, the calculation gives 107.7 meV per atom. As for the total energy: -15.37 eV/f.u. The uncorrected formation energy comes out at -0.492 eV/atom.

---

DFT (PBE) results for an optimized crystal structure of Tb2ScCo.

a b c (Å): 3.4047 3.4047 8.2930
angles (deg): 90.00 90.00 90.00
Space group P4/mmm (No. 123)
Symmetry-distinct sites (fractional):
Tb 0.0000 0.0000 0.1976
Sc 0.5000 0.5000 0.5000
Co 0.5000 0.5000 0.0000

Summary:
For the energy above the most stable polymorph in this dataset, the calculation gives 148.7 meV per atom. The calculation puts the formation energy at -0.01 eV/atom. As for the total energy: -22.75 eV/f.u.

---

DFT (PBE) results for an optimized crystal structure of Li7InGe4.

a b c (Å): 12.3949 4.8425 9.3860
angles (deg): 90.00 127.61 90.00
Space group C2/m (No. 12)
Symmetry-distinct sites (fractional):
Li 0.0000 0.0000 0.0000
Li 0.0652 0.5000 0.3694
Li 0.1665 0.0000 0.6131
Li 0.2210 0.5000 0.8673
In 0.0000 0.5000 0.0000
Ge 0.0590 0.0000 0.7778
Ge 0.1850 0.0000 0.3445

Summary:
The calculation puts the formation energy at -0.20 eV/atom. As for the total energy: -37.01 eV/f.u.

---

DFT (PBE) results for an optimized crystal structure of PrMg2Al2Hg2.

a b c (Å): 4.6618 4.6618 25.7046
angles (deg): 90.00 90.00 120.00
Space group R-3m (No. 166, hexagonal axes)
Symmetry-distinct sites (fractional):
Pr 0.0000 0.0000 0.0000
Mg 0.0000 0.0000 0.1362
Al 0.0000 0.0000 0.2522
Hg 0.0000 0.0000 0.4082

Summary:
The calculation puts the formation energy at -0.28 eV/atom. As for the total energy: -17.99 eV/f.u.

---

DFT (PBE) results for an optimized crystal structure of Ca2MgSc2.

a b c (Å): 7.7489 7.7489 5.3169
angles (deg): 90.00 90.00 90.00
Space group P4/mbm (No. 127)
Symmetry-distinct sites (fractional):
Ca 0.1681 0.3319 0.0000
Mg 0.0000 0.0000 0.5000
Sc 0.1372 0.6372 0.5000

Summary:
The calculation puts the formation energy at 0.31 eV/atom. As for the total energy: -16.73 eV/f.u.

---

DFT (PBE) results for an optimized crystal structure of RbCoAg2.

a b c (Å): 5.4749 5.4749 17.3683
angles (deg): 90.00 90.00 90.00
Space group I4_1/amd (No. 141, origin choice 2)
Symmetry-distinct sites (fractional):
Rb 0.0000 0.2500 0.3750
Co 0.0000 0.2500 0.8750
Ag 0.0000 0.0000 0.0000

Summary:
For the energy above the most stable polymorph in this dataset, the calculation gives 0.0 meV per atom. The calculation puts the formation energy at 0.64 eV/atom. As for the total energy: -11.22 eV/f.u.

---

DFT (PBE) results for an optimized crystal structure of NaEu2Au.

a b c (Å): 5.3608 5.3608 4.1897
angles (deg): 90.00 90.00 90.00
Space group P4/mmm (No. 123)
Symmetry-distinct sites (fractional):
Na 0.0000 0.0000 0.0000
Eu 0.0000 0.5000 0.5000
Au 0.5000 0.5000 0.0000

Summary:
The calculation puts the formation energy at -0.28 eV/atom. As for the total energy: -26.27 eV/f.u.

---

DFT (PBE) results for an optimized crystal structure of Ac4Eu2H.

a b c (Å): 5.4323 5.4323 18.7124
angles (deg): 90.00 90.00 90.00
Space group I4/mmm (No. 139)
Symmetry-distinct sites (fractional):
Ac 0.0000 0.0000 0.1537
Ac 0.0000 0.5000 0.0000
Eu 0.0000 0.0000 0.3544
H 0.0000 0.0000 0.0000

Summary:
As for the total energy: -39.80 eV/f.u.

---

DFT (PBE) results for an optimized crystal structure of Sc8InOs2.

a b c (Å): 8.1584 14.7390 4.8778
angles (deg): 90.00 126.68 90.00
Space group Cm (No. 8)
Symmetry-distinct sites (fractional):
Sc 0.0000 0.0000 0.0000
Sc 0.0781 0.1719 0.5770
Sc 0.1210 0.2930 0.1198
Sc 0.2340 0.5000 0.2350
Sc 0.4380 0.1145 0.4371
In 0.2958 0.0000 0.7954
Os 0.3182 0.3309 0.8166

Summary:
The calculation puts the formation energy at -0.32 eV/atom. As for the total energy: -79.34 eV/f.u.

---

DFT (PBE) results for an optimized crystal structure of KCo2PtCl8.

a b c (Å): 6.1976 6.1976 28.9053
angles (deg): 90.00 90.00 120.00
Space group R-3 (No. 148, hexagonal axes)
Symmetry-distinct sites (fractional):
K 0.0000 0.0000 0.0000
Co 0.0000 0.0000 0.2404
Pt 0.0000 0.0000 0.5000
Cl 0.0000 0.0000 0.3160
Cl 0.0019 0.6833 0.5501

Summary:
As for the total energy: -44.69 eV/f.u. The uncorrected formation energy comes out at -0.714 eV/atom.

---

DFT (PBE) results for an optimized crystal structure of ScCuGe.

a b c (Å): 4.0736 4.0736 6.4957
angles (deg): 90.00 90.00 90.00
Space group P4/nmm (No. 129, origin choice 2)
Symmetry-distinct sites (fractional):
Sc 0.2500 0.7500 0.0000
Cu 0.2500 0.2500 0.3097
Ge 0.2500 0.2500 0.6850

Summary:
The calculation puts the formation energy at -0.07 eV/atom. As for the total energy: -15.25 eV/f.u.

---

DFT (PBE) results for an optimized crystal structure of ZnSiPb2.

a b c (Å): 7.2905 7.2905 7.2905
angles (deg): 90.00 90.00 90.00
Space group Fm-3m (No. 225)
Symmetry-distinct sites (fractional):
Zn 0.0000 0.0000 0.0000
Si 0.0000 0.0000 0.5000
Pb 0.2500 0.2500 0.2500

Summary:
For the energy above the most stable polymorph in this dataset, the calculation gives 126.7 meV per atom. As for the total energy: -12.70 eV/f.u. The uncorrected formation energy comes out at 0.353 eV/atom.

---

DFT (PBE) results for an optimized crystal structure of Sr6In2AgO.

a b c (Å): 7.9391 11.1505 7.9388
angles (deg): 90.00 90.00 90.00
Space group Pmmn (No. 59, origin choice 2)
Symmetry-distinct sites (fractional):
Sr 0.0176 0.2500 0.0174
Sr 0.0178 0.2500 0.4822
Sr 0.2500 0.0181 0.2497
In 0.2500 0.0000 0.7494
Ag 0.2500 0.7500 0.2504
O 0.2500 0.2500 0.2495

Summary:
As for the total energy: -29.82 eV/f.u. The uncorrected formation energy comes out at -0.644 eV/atom.